# Y3FeF

A crystal of Y3FeF relaxed with PBEsol (meta-GGA SCAN, Alexandria).

The structure belongs to space group Pm-3m (No. 221); the cell edges are 4.6891, 4.6891 and 4.6891 Å and the angles 90.00°, 90.00° and 90.00°. The inequivalent atoms are Y at (0.0000, 0.0000, 0.5000), Fe at (0.5000, 0.5000, 0.5000) and F at (0.0000, 0.0000, 0.0000).

Its energy relative to the elements, uncorrected is -0.77 eV/atom. The calculation puts the density of states at the Fermi level at 4.78 states/eV/f.u. The value obtained for the volume is 103.11 Å³ per cell. The total DFT energy (no corrections) is -0.802 hartree per atom. For the density, the calculation gives 5.50 g/cm3.